Density functional theory data (GGA-PBE) for a geometry-optimized Ni2RhW structure.

Lattice parameters (Å, degrees): 6.683 6.683 5.360 51.44 51.44 90.00
Atoms (fractional coordinates):
Ni: 0.875 0.886 0.750
Rh: 0.250 0.750 0.500
Ni: 0.375 0.364 0.750
W: 0.750 0.250 0.500
Rh: 0.500 0.500 0.000
Ni: 0.114 0.625 0.250
W: 0.000 0.000 0.000
Ni: 0.636 0.125 0.250

The crystal system is tetragonal. The calculation puts the formation energy at 483.7 meV/atom. Its energy above the most stable polymorph in this dataset is 637 meV per atom.



Density functional theory data (GGA-PBE) for a geometry-optimized ErBeC structure.

Lattice parameters (Å, degrees): 3.180 4.960 11.365 90.00 90.00 90.00
Atoms (fractional coordinates):
C: 0.750 0.250 0.420
Er: 0.750 0.750 0.412
C: 0.750 0.250 0.920
Er: 0.750 0.750 0.912
Er: 0.250 0.250 0.088
Be: 0.750 0.750 0.138
Be: 0.250 0.250 0.862
C: 0.250 0.750 0.080
Er: 0.250 0.250 0.588
C: 0.250 0.750 0.580
Be: 0.250 0.250 0.362
Be: 0.750 0.750 0.638

The crystal system is orthorhombic. The calculation puts the formation energy at -3.4 meV/atom. Its energy above the most stable polymorph in this dataset is 303 meV per atom.



Density functional theory data (GGA-PBE) for a geometry-optimized Sr2TmZn structure.

Lattice parameters (Å, degrees): 3.793 3.793 12.103 80.99 80.99 60.00
Each line ends with the local moment (μB).
Atoms (fractional coordinates):
Sr: 0.099 0.099 0.702  0.00
Sr: 0.901 0.901 0.298  0.00
Zn: 0.500 0.500 0.500  -0.01
Tm: 0.000 0.000 0.000  0.23

The crystal system is trigonal. The calculation puts the formation energy at 318.0 meV/atom.



Density functional theory data (GGA-PBE) for a geometry-optimized HoTm2AgC structure.

Lattice parameters (Å, degrees): 4.783 4.783 4.932 90.00 90.00 90.00
Atoms (fractional coordinates):
Tm: 0.500 0.000 0.999
Ho: 0.000 0.000 0.499
Tm: 0.000 0.500 0.999
C: 0.000 0.000 0.002
Ag: 0.500 0.500 0.501

The crystal system is tetragonal. The calculation puts the formation energy at -248.6 meV/atom.



Density functional theory data (GGA-PBE) for a geometry-optimized La2Pm8Tm3 structure.

Lattice parameters (Å, degrees): 5.384 7.750 11.178 108.08 89.92 90.00
Atoms (fractional coordinates):
Pm: 0.498 0.910 0.258
La: 0.503 0.303 0.475
Tm: 0.999 0.733 0.060
Pm: 0.000 0.203 0.242
Pm: 0.997 0.739 0.375
Tm: 0.001 0.267 0.940
Pm: 0.502 0.090 0.742
Pm: 0.500 0.533 0.833
Pm: 0.000 0.797 0.758
Pm: 0.003 0.261 0.625
Tm: 0.500 0.000 0.000
La: 0.497 0.697 0.525
Pm: 0.500 0.467 0.167

The crystal system is triclinic. The calculation puts the formation energy at 174.9 meV/atom.



Density functional theory data (GGA-PBE) for a geometry-optimized La2TlIrPb structure.

Lattice parameters (Å, degrees): 5.541 5.541 5.243 90.00 90.00 90.00
Atoms (fractional coordinates):
La: 0.000 0.500 0.000
Ir: 0.000 0.000 0.000
Pb: 0.500 0.500 0.500
La: 0.500 0.000 0.000
Tl: 0.000 0.000 0.500

The crystal system is tetragonal. The calculation puts the formation energy at -473.4 meV/atom. Its energy above the most stable polymorph in this dataset is 0 meV per atom.